TbHo6Tm2Th | PBE-GGA | relaxed Values from VASP.

Calculated values
ΔE_f: 139 kJ/mol of formula units
final energy: -0.173 hartree per atom
size of the total moment: 0.0 μB/f.u.
crystal system: monoclinic
D(E_F): 1.443 states/eV/atom

Structure (Quantum ESPRESSO input):
```
&SYSTEM
  ibrav = 0, nat = 20, ntyp = 4
/
ATOMIC_SPECIES
Tb 158.93 Tb.upf
Ho 164.93 Ho.upf
Tm 168.93 Tm.upf
Th 232.04 Th.upf
ATOMIC_POSITIONS angstrom
Tb 3.540 7.027 7.098
Tb 4.199 -7.027 2.366
Ho 1.806 4.056 6.467
Ho 3.863 4.646 0.557
Ho 4.536 4.646 4.175
Ho 2.478 1.543 8.337
Ho 5.274 4.056 7.730
Ho 4.602 1.543 5.859
Ho 3.137 -1.543 3.605
Ho 2.466 -4.056 1.735
Ho 5.262 -1.543 1.127
Ho 3.204 -4.646 5.289
Ho 3.876 -4.646 8.907
Ho 5.933 -4.056 2.998
Tm 1.486 0.752 5.171
Tm 2.145 -0.752 0.439
Tm 5.594 0.752 9.025
Tm 6.254 -0.752 4.293
Th 4.199 1.402 2.366
Th 3.540 -1.402 7.098
CELL_PARAMETERS angstrom
4.529 -7.392 0.000
4.529 7.392 0.000
-1.319 0.000 9.464
```



TbHo3Tm6Th2 | PBE-GGA | relaxed Values from VASP.

Calculated values
ΔE_f: 30 kJ/mol of formula units
final energy: -0.183 hartree per atom
size of the total moment: 0.0 μB/f.u.
crystal system: monoclinic
D(E_F): 1.374 states/eV/atom

Structure (Quantum ESPRESSO input):
```
&SYSTEM
  ibrav = 0, nat = 12, ntyp = 4
/
ATOMIC_SPECIES
Tb 158.93 Tb.upf
Ho 164.93 Ho.upf
Tm 168.93 Tm.upf
Th 232.04 Th.upf
ATOMIC_POSITIONS angstrom
Tb 0.000 0.000 0.000
Ho 2.035 3.528 5.719
Ho 2.035 0.000 5.719
Ho 2.035 -3.528 5.719
Tm 1.033 1.782 2.845
Tm 0.018 0.000 8.590
Tm 1.033 -1.782 2.845
Tm 3.037 1.782 8.594
Tm 4.052 0.000 2.849
Tm 3.037 -1.782 8.594
Th 3.055 1.762 0.000
Th 3.055 -1.762 0.000
CELL_PARAMETERS angstrom
3.055 -5.287 0.000
3.055 5.287 0.000
-2.040 0.000 11.439
```



Tb2HoTm2Th2 | PBE-GGA | relaxed Values from VASP.

Calculated values
ΔE_f: 274 kJ/mol of formula units
final energy: -0.183 hartree per atom
size of the total moment: 0.0 μB/f.u.
crystal system: monoclinic
D(E_F): 1.310 states/eV/atom

Structure (Quantum ESPRESSO input):
```
&SYSTEM
  ibrav = 0, nat = 7, ntyp = 4
/
ATOMIC_SPECIES
Tb 158.93 Tb.upf
Ho 164.93 Ho.upf
Tm 168.93 Tm.upf
Th 232.04 Th.upf
ATOMIC_POSITIONS angstrom
Tb -0.580 0.000 1.397
Tb 8.492 0.000 6.126
Ho -2.337 0.000 3.762
Tm -0.305 0.000 6.752
Tm 8.218 0.000 0.771
Th 1.975 0.000 3.398
Th 5.938 0.000 4.125
CELL_PARAMETERS angstrom
6.293 -2.483 0.000
6.293 2.483 0.000
-4.674 0.000 7.523
```



Tb2HoTm2Th | PBE-GGA | relaxed Values from VASP.

Calculated values
ΔE_f: 102 kJ/mol of formula units
final energy: -0.178 hartree per atom
size of the total moment: 0.0 μB/f.u.
crystal system: monoclinic
D(E_F): 1.532 states/eV/atom

Structure (Quantum ESPRESSO input):
```
&SYSTEM
  ibrav = 0, nat = 12, ntyp = 4
/
ATOMIC_SPECIES
Tb 158.93 Tb.upf
Ho 164.93 Ho.upf
Tm 168.93 Tm.upf
Th 232.04 Th.upf
ATOMIC_POSITIONS angstrom
Tb 1.015 0.000 1.425
Tb 1.015 3.377 1.425
Tb 4.505 6.755 7.373
Tb 4.505 3.378 7.373
Ho 1.290 1.689 7.285
Ho 4.231 5.067 1.513
Tm 0.001 5.067 4.341
Tm 2.309 1.689 4.127
Tm 3.211 5.067 4.670
Tm 5.520 1.689 4.457
Th 1.251 5.067 7.441
Th 4.270 1.689 1.357
CELL_PARAMETERS angstrom
6.431 0.000 0.000
0.000 6.755 0.000
-0.910 0.000 8.798
```



Tb5Ho2TmTh | PBE-GGA | relaxed Values from VASP.

Calculated values
ΔE_f: 139 kJ/mol of formula units
final energy: -0.175 hartree per atom
size of the total moment: 0.0 μB/f.u.
crystal system: orthorhombic
D(E_F): 1.363 states/eV/atom

Structure (Quantum ESPRESSO input):
```
&SYSTEM
  ibrav = 0, nat = 18, ntyp = 4
/
ATOMIC_SPECIES
Tb 158.93 Tb.upf
Ho 164.93 Ho.upf
Tm 168.93 Tm.upf
Th 232.04 Th.upf
ATOMIC_POSITIONS angstrom
Tb 2.846 10.454 4.829
Tb 2.846 4.921 7.788
Tb 2.846 4.229 1.938
Tb 2.846 2.192 5.080
Tb 2.846 0.671 2.196
Tb 2.846 -0.671 7.025
Tb 2.846 -2.192 0.251
Tb 2.846 -4.229 6.767
Tb 2.846 -4.921 2.959
Tb 2.846 -10.454 0.000
Ho 2.846 8.274 7.847
Ho 2.846 7.994 1.881
Ho 2.846 -7.994 6.710
Ho 2.846 -8.274 3.018
Tm 2.846 6.701 4.829
Tm 2.846 -6.701 0.000
Th 2.846 2.060 8.758
Th 2.846 -2.060 3.929
CELL_PARAMETERS angstrom
2.846 -10.769 0.000
2.846 10.769 0.000
0.000 0.000 9.658
```



Tb3Ho6TmTh2 | PBE-GGA | relaxed Values from VASP.

Calculated values
ΔE_f: 23 kJ/mol of formula units
final energy: -0.185 hartree per atom
size of the total moment: 0.0 μB/f.u.
crystal system: monoclinic
D(E_F): 1.327 states/eV/atom

Structure (Quantum ESPRESSO input):
```
&SYSTEM
  ibrav = 0, nat = 12, ntyp = 4
/
ATOMIC_SPECIES
Tb 158.93 Tb.upf
Ho 164.93 Ho.upf
Tm 168.93 Tm.upf
Th 232.04 Th.upf
ATOMIC_POSITIONS angstrom
Tb 0.000 0.000 0.000
Tb 3.069 1.769 0.000
Tb 3.069 -1.769 0.000
Ho 1.013 1.785 2.915
Ho -0.022 0.000 8.629
Ho 1.013 -1.785 2.915
Ho 3.075 1.785 8.624
Ho 4.110 0.000 2.911
Ho 3.075 -1.785 8.624
Tm 2.044 0.000 5.770
Th 2.044 3.541 5.770
Th 2.044 -3.541 5.770
CELL_PARAMETERS angstrom
3.069 -5.312 0.000
3.069 5.312 0.000
-2.050 0.000 11.539
```



Tb6Ho3Tm2Th | PBE-GGA | relaxed Values from VASP.

Calculated values
ΔE_f: 28 kJ/mol of formula units
final energy: -0.176 hartree per atom
size of the total moment: 0.0 μB/f.u.
crystal system: monoclinic
D(E_F): 1.293 states/eV/atom

Structure (Quantum ESPRESSO input):
```
&SYSTEM
  ibrav = 0, nat = 12, ntyp = 4
/
ATOMIC_SPECIES
Tb 158.93 Tb.upf
Ho 164.93 Ho.upf
Tm 168.93 Tm.upf
Th 232.04 Th.upf
ATOMIC_POSITIONS angstrom
Tb -0.003 1.755 8.678
Tb 1.001 0.000 2.904
Tb -0.003 -1.755 8.678
Tb 4.095 1.755 2.903
Tb 3.091 0.000 8.676
Tb 4.095 -1.755 2.903
Ho 3.068 3.533 0.000
Ho 3.068 0.000 0.000
Ho 3.068 -3.533 0.000
Tm 2.046 1.771 5.790
Tm 2.046 -1.771 5.790
Th -1.022 0.000 5.790
CELL_PARAMETERS angstrom
3.068 -5.309 0.000
3.068 5.309 0.000
-2.045 0.000 11.581
```



Tb2HoTm5Th | PBE-GGA | relaxed Values from VASP.

Calculated values
ΔE_f: 274 kJ/mol of formula units
final energy: -0.166 hartree per atom
size of the total moment: 0.0 μB/f.u.
crystal system: tetragonal
D(E_F): 1.146 states/eV/atom

Structure (Quantum ESPRESSO input):
```
&SYSTEM
  ibrav = 0, nat = 18, ntyp = 4
/
ATOMIC_SPECIES
Tb 158.93 Tb.upf
Ho 164.93 Ho.upf
Tm 168.93 Tm.upf
Th 232.04 Th.upf
ATOMIC_POSITIONS angstrom
Tb 5.346 0.993 0.000
Tb 0.993 3.360 0.000
Tb 3.360 0.993 7.414
Tb -0.993 3.360 7.414
Ho 4.353 0.000 3.707
Ho 0.000 4.353 3.707
Tm 0.000 0.000 0.000
Tm 2.526 1.827 -2.021
Tm 2.526 -1.827 5.393
Tm 2.526 1.827 2.021
Tm 2.526 -1.827 9.434
Tm 0.000 0.000 7.414
Tm 1.827 6.181 -2.021
Tm 1.827 2.526 5.393
Tm 1.827 6.181 2.021
Tm 1.827 2.526 9.434
Th 0.000 0.000 3.707
Th 0.000 0.000 11.120
CELL_PARAMETERS angstrom
-4.353 4.353 7.414
4.353 -4.353 7.414
4.353 4.353 -7.414
```



TbHo5TmTh2 | PBE-GGA | relaxed Values from VASP.

Calculated values
ΔE_f: 304 kJ/mol of formula units
final energy: -0.178 hartree per atom
size of the total moment: 0.0 μB/f.u.
crystal system: tetragonal
D(E_F): 1.304 states/eV/atom

Structure (Quantum ESPRESSO input):
```
&SYSTEM
  ibrav = 0, nat = 18, ntyp = 4
/
ATOMIC_SPECIES
Tb 158.93 Tb.upf
Ho 164.93 Ho.upf
Tm 168.93 Tm.upf
Th 232.04 Th.upf
ATOMIC_POSITIONS angstrom
Tb 0.000 0.000 3.851
Tb 0.000 0.000 11.553
Ho 0.000 0.000 0.000
Ho 6.201 1.837 -2.157
Ho 1.837 2.526 -2.157
Ho 6.201 1.837 2.157
Ho 1.837 2.526 2.157
Ho 0.000 0.000 7.702
Ho 2.526 1.837 5.545
Ho -1.837 2.526 5.545
Ho 2.526 1.837 9.859
Ho -1.837 2.526 9.859
Tm 4.363 0.000 3.851
Tm 0.000 4.363 3.851
Th 3.320 1.043 0.000
Th 3.320 -1.043 7.702
Th 1.043 5.406 0.000
Th 1.043 3.320 7.702
CELL_PARAMETERS angstrom
-4.363 4.363 7.702
4.363 -4.363 7.702
4.363 4.363 -7.702
```



TbHo3TmTh | PBE-GGA | relaxed Values from VASP.

Calculated values
ΔE_f: 15 kJ/mol of formula units
final energy: -0.184 hartree per atom
size of the total moment: 0.0 μB/f.u.
crystal system: monoclinic
D(E_F): 1.486 states/eV/atom

Structure (Quantum ESPRESSO input):
```
&SYSTEM
  ibrav = 0, nat = 12, ntyp = 4
/
ATOMIC_SPECIES
Tb 158.93 Tb.upf
Ho 164.93 Ho.upf
Tm 168.93 Tm.upf
Th 232.04 Th.upf
ATOMIC_POSITIONS angstrom
Tb 0.390 1.255 2.775
Tb 4.313 3.765 6.715
Ho -0.400 3.765 5.147
Ho -1.154 1.255 7.516
Ho 1.230 3.765 0.417
Ho 3.474 1.255 9.073
Ho 5.858 3.765 1.974
Ho 5.103 1.255 4.343
Tm 1.947 1.255 5.949
Tm 2.756 3.765 3.541
Th 1.143 3.765 8.326
Th 3.561 1.255 1.165
CELL_PARAMETERS angstrom
7.894 0.000 0.000
0.000 5.020 0.000
-3.191 0.000 9.490
```



What is the ΔE_f in the fourth record?
102 kJ/mol of formula units



size of the total moment of number 4 (Tb2HoTm2Th)?
0.0 μB/f.u.



Look up the final energy of the fourth one.
-0.178 hartree per atom